The following is a DFT calculation (PBE) of an optimized crystal structure of LiBe2Ni.

Properties
E_form = 0.01 eV per formula unit
uncorrected energy = -3.784 eV/atom

a = 8.030 Å, b = 8.030 Å, c = 8.030 Å
α = 17.57°, β = 17.57°, γ = 17.57°
Fractional positions:
Li (0.000, 0.000, 0.000)
Be (0.242, 0.242, 0.242)
Be (0.758, 0.758, 0.758)
Ni (0.500, 0.500, 0.500)